Entry from the Alexandria database: a relaxed structure of BaCaAc2In4 (PBE).

Calculated values
Calculated volume = 275.3 Å³ per cell
DOS(E_F) = 8.40 states/eV per cell
M_tot = 0.00 μB per formula unit
Symmetry = R-3m (166)
Uncorrected energy = -3.282 eV/atom

Cell lengths 10.088, 10.088, 10.088 Å; angles 33.29, 33.29, 33.29 degrees
Element x y z (fractional)
1 Ba 0.000 0.000 0.000
2 Ca 0.500 0.500 0.500
3 Ac 0.247 0.247 0.247
4 Ac 0.753 0.753 0.753
5 In 0.128 0.128 0.128
6 In 0.378 0.378 0.378
7 In 0.622 0.622 0.622
8 In 0.872 0.872 0.872

Entry from the Alexandria database: a relaxed structure of Na2GdCl4 (PBE).

Calculated values
Calculated volume = 222.5 Å³ per cell
DOS(E_F) = 6.06 states/eV per cell
M_tot = 6.90 μB per formula unit
Symmetry = I4/mmm (139)
Formation energy (no corrections) = -11.98 eV per formula unit

Cell lengths 8.284, 8.284, 8.284 Å; angles 141.09, 141.09, 56.20 degrees
Element x y z (fractional)
1 Na 0.135 0.135 0.000
2 Na 0.865 0.865 0.000
3 Gd 0.500 0.500 0.000
4 Cl 0.000 0.500 0.500
5 Cl 0.317 0.317 0.000
6 Cl 0.500 0.000 0.500
7 Cl 0.683 0.683 0.000

Entry from the Alexandria database: a relaxed structure of La2PmPuSb4 (PBE).

Calculated values
Calculated volume = 265.6 Å³ per cell
DOS(E_F) = 17.00 states/eV per cell
M_tot = 4.99 μB per formula unit
Symmetry = P2/m (10)
Formation energy (no corrections) = -8.56 eV per formula unit

Cell lengths 7.865, 4.552, 7.869 Å; angles 90.00, 109.49, 90.00 degrees
Element x y z (fractional)
1 La 0.000 0.000 0.000
2 La 0.000 0.500 0.500
3 Pm 0.500 0.000 0.500
4 Pu 0.500 0.500 0.000
5 Sb 0.259 0.500 0.250
6 Sb 0.261 0.000 0.756
7 Sb 0.739 0.000 0.244
8 Sb 0.741 0.500 0.750

Entry from the Alexandria database: a relaxed structure of Be2H (PBE).

Calculated values
Calculated volume = 48.3 Å³ per cell
DOS(E_F) = 0.73 states/eV per cell
M_tot = 0.00 μB per formula unit
Excess energy over the best structure of this formula in the dataset = 3.143 kcal/mol of atoms
Symmetry = Pm (6)

Cell lengths 3.748, 2.238, 5.877 Å; angles 90.00, 101.63, 90.00 degrees
Element x y z (fractional)
1 Be 0.000 0.000 0.000
2 Be 0.228 0.000 0.669
3 Be 0.474 0.500 0.966
4 Be 0.728 0.500 0.650
5 H 0.221 0.500 0.152
6 H 0.860 0.000 0.501

Entry from the Alexandria database: a relaxed structure of Tm6SnP2Se3 (PBE).

Calculated values
Calculated volume = 284.7 Å³ per cell
DOS(E_F) = 4.56 states/eV per cell
M_tot = 0.00 μB per formula unit
Symmetry = C2/m (12)
Formation energy (no corrections) = -18.26 eV per formula unit

Cell lengths 9.091, 9.091, 8.197 Å; angles 103.04, 103.04, 25.60 degrees
Element x y z (fractional)
1 Tm 0.007 0.007 0.261
2 Tm 0.327 0.327 0.428
3 Tm 0.330 0.330 0.894
4 Tm 0.670 0.670 0.106
5 Tm 0.673 0.673 0.572
6 Tm 0.993 0.993 0.739
7 Sn 0.500 0.500 0.000
8 P 0.168 0.168 0.338
9 P 0.832 0.832 0.662
10 Se 0.165 0.165 0.832
11 Se 0.500 0.500 0.500
12 Se 0.835 0.835 0.168

Entry from the Alexandria database: a relaxed structure of RbHfGa3 (PBE).

Calculated values
Calculated volume = 151.8 Å³ per cell
DOS(E_F) = 5.68 states/eV per cell
M_tot = 0.00 μB per formula unit
Excess energy over the best structure of this formula in the dataset = 31.672 kcal/mol of atoms
Symmetry = Pm-3m (221)

Cell lengths 5.335, 5.335, 5.335 Å; angles 90.00, 90.00, 90.00 degrees
Element x y z (fractional)
1 Rb 0.000 0.000 0.000
2 Hf 0.500 0.500 0.500
3 Ga 0.000 0.000 0.500
4 Ga 0.000 0.500 0.000
5 Ga 0.500 0.000 0.000

Entry from the Alexandria database: a relaxed structure of Hf2CuSbPt (PBE).

Calculated values
Calculated volume = 107.6 Å³ per cell
DOS(E_F) = 4.05 states/eV per cell
M_tot = 0.00 μB per formula unit
Symmetry = P4/mmm (123)
Formation energy (no corrections) = 2.19 eV per formula unit

Cell lengths 4.842, 4.842, 4.590 Å; angles 90.00, 90.00, 90.00 degrees
Element x y z (fractional)
1 Hf 0.000 0.500 0.000
2 Hf 0.500 0.000 0.000
3 Cu 0.000 0.000 0.000
4 Sb 0.000 0.000 0.500
5 Pt 0.500 0.500 0.500

Entry from the Alexandria database: a relaxed structure of ReTc2W2 (PBE).

Calculated values
Calculated volume = 160.0 Å³ per cell
DOS(E_F) = 7.55 states/eV per cell
M_tot = 0.00 μB per formula unit
Excess energy over the best structure of this formula in the dataset = 0.000 kcal/mol of atoms
Symmetry = P4/mbm (127)

Cell lengths 7.364, 7.364, 2.949 Å; angles 90.00, 90.00, 90.00 degrees
Element x y z (fractional)
1 Re 0.000 0.000 0.000
2 Re 0.500 0.500 0.000
3 Tc 0.152 0.348 0.500
4 Tc 0.348 0.848 0.500
5 Tc 0.652 0.152 0.500
6 Tc 0.848 0.652 0.500
7 W 0.149 0.649 0.000
8 W 0.351 0.149 0.000
9 W 0.649 0.851 0.000
10 W 0.851 0.351 0.000